# 1
Here is an optimized crystal structure of Zn9InNi2 from Alexandria. Energies are from PBE-GGA.

As for the total energy: -2.178 eV/atom. Its size of the total moment is 0.00 Bohr magnetons per cell. The calculation puts the energy of formation at -0.03 eV per atom.

Cell: 8.2047 8.2047 8.2047 Å, 99.52 99.52 132.01°
Atoms (fractional coordinates):
1 Zn 0.0646 0.2343 0.4263
2 Zn 0.0646 0.6383 0.8303
3 Zn 0.2343 0.0646 0.9263
4 Zn 0.2343 0.3081 0.1697
5 Zn 0.3081 0.2343 0.6697
6 Zn 0.3081 0.6383 0.0737
7 Zn 0.3617 0.6919 0.4263
8 Zn 0.3617 0.9354 0.6697
9 Zn 0.3750 0.6250 0.7500
10 Zn 0.6250 0.3750 0.2500
11 Zn 0.6383 0.0646 0.3303
12 Zn 0.6383 0.3081 0.5737
13 Zn 0.6919 0.3617 0.9263
14 Zn 0.6919 0.7657 0.3303
15 Zn 0.7657 0.6919 0.8303
16 Zn 0.7657 0.9354 0.0737
17 Zn 0.9354 0.3617 0.1697
18 Zn 0.9354 0.7657 0.5737
19 In 0.1250 0.8750 0.2500
20 In 0.8750 0.1250 0.7500
21 Ni 0.0000 0.5000 0.5000
22 Ni 0.5000 0.0000 0.0000
23 Ni 0.5000 0.5000 0.0000
24 Ni 0.5000 0.5000 0.5000


# 2
Here is an optimized crystal structure of AcCeSnPb from Alexandria. Energies are from PBE-GGA.

As for the total energy: -4.775 eV/atom. Its size of the total moment is 0.38 Bohr magnetons per cell. The calculation puts the energy of formation at -0.34 eV per atom.

Cell: 4.5387 4.5387 12.8064 Å, 90.00 90.00 90.00°
Atoms (fractional coordinates):
1 Ac 0.2500 0.2500 0.2165
2 Ac 0.7500 0.7500 0.7835
3 Ce 0.2500 0.7500 0.5000
4 Ce 0.7500 0.2500 0.5000
5 Sn 0.2500 0.2500 0.9541
6 Sn 0.7500 0.7500 0.0459
7 Pb 0.2500 0.2500 0.6852
8 Pb 0.7500 0.7500 0.3148


# 3
Here is an optimized crystal structure of KRe2 from Alexandria. Energies are from PBE-GGA.

As for the total energy: -7.768 eV/atom. Its size of the total moment is 0.00 Bohr magnetons per cell. The calculation puts the energy of formation at 0.90 eV per atom.

Cell: 2.8440 2.8440 8.1772 Å, 90.00 90.00 120.00°
Atoms (fractional coordinates):
1 K 0.0000 0.0000 0.0000
2 Re 0.3333 0.6667 0.6248
3 Re 0.6667 0.3333 0.3752